ZrPW2 | GGA-PBE | relaxed

The structure in CIF format:
```
data_ZrPW2
_chemical_formula_sum 'Zr1 P1 W2'
_cell_length_a 3.749
_cell_length_b 3.749
_cell_length_c 4.785
_cell_angle_alpha 90.00
_cell_angle_beta 90.00
_cell_angle_gamma 90.00
_symmetry_space_group_name_H-M 'P 1'
_symmetry_Int_Tables_number 1
loop_
_symmetry_equiv_pos_as_xyz
'x,y,z'
loop_
_atom_site_label
_atom_site_type_symbol
_atom_site_fract_x
_atom_site_fract_y
_atom_site_fract_z
_atom_site_occupancy
Zr1 Zr 0.500 0.500 0.500 1
W1 W 0.000 0.500 0.000 1
P1 P 0.000 0.000 0.500 1
W2 W 0.500 0.000 0.000 1
```

Results
* N(E_F): 2.60 states/eV per cell
* energy: -39.8 eV/cell
* formation energy from the elements: 0.023 eV per atom
* total magnetization: 0.00 μB per atom
* crystal system: tetragonal
* symmetry: P4/mmm, No. 123

=====

Ac6Co3Bi | GGA-PBE | relaxed

The structure in CIF format:
```
data_Ac6Co3Bi
_chemical_formula_sum 'Ac12 Co6 Bi2'
_cell_length_a 4.338
_cell_length_b 12.646
_cell_length_c 14.363
_cell_angle_alpha 123.48
_cell_angle_beta 90.00
_cell_angle_gamma 90.00
_symmetry_space_group_name_H-M 'P 1'
_symmetry_Int_Tables_number 1
loop_
_symmetry_equiv_pos_as_xyz
'x,y,z'
loop_
_atom_site_label
_atom_site_type_symbol
_atom_site_fract_x
_atom_site_fract_y
_atom_site_fract_z
_atom_site_occupancy
Ac1 Ac 0.750 0.617 0.438 1
Ac2 Ac 0.750 0.071 0.934 1
Ac3 Ac 0.250 0.925 0.653 1
Ac4 Ac 0.750 0.710 0.763 1
Co1 Co 0.250 0.876 0.838 1
Bi1 Bi 0.250 0.263 0.890 1
Ac5 Ac 0.250 0.383 0.562 1
Co2 Co 0.750 0.124 0.162 1
Ac6 Ac 0.750 0.470 0.120 1
Co3 Co 0.250 0.091 0.487 1
Bi2 Bi 0.750 0.737 0.110 1
Co4 Co 0.750 0.457 0.712 1
Ac7 Ac 0.250 0.808 0.342 1
Ac8 Ac 0.750 0.192 0.658 1
Ac9 Ac 0.250 0.530 0.880 1
Co5 Co 0.750 0.909 0.513 1
Co6 Co 0.250 0.543 0.288 1
Ac10 Ac 0.750 0.075 0.347 1
Ac11 Ac 0.250 0.929 0.066 1
Ac12 Ac 0.250 0.290 0.237 1
```

Results
* N(E_F): 9.94 states/eV per cell
* energy: -103.2 eV/cell
* formation energy from the elements: -0.175 eV per atom
* total magnetization: 0.00 μB per atom
* crystal system: monoclinic
* symmetry: P2_1/m, No. 11

=====

AlHg2W | GGA-PBE | relaxed

The structure in CIF format:
```
data_AlHg2W
_chemical_formula_sum 'Al1 Hg2 W1'
_cell_length_a 2.891
_cell_length_b 2.891
_cell_length_c 9.159
_cell_angle_alpha 90.00
_cell_angle_beta 90.00
_cell_angle_gamma 90.00
_symmetry_space_group_name_H-M 'P 1'
_symmetry_Int_Tables_number 1
loop_
_symmetry_equiv_pos_as_xyz
'x,y,z'
loop_
_atom_site_label
_atom_site_type_symbol
_atom_site_fract_x
_atom_site_fract_y
_atom_site_fract_z
_atom_site_occupancy
Hg1 Hg 0.000 0.000 0.006 1
W1 W 0.500 0.500 0.250 1
Hg2 Hg 0.000 0.000 0.494 1
Al1 Al 0.500 0.500 0.750 1
```

Results
* N(E_F): 2.72 states/eV per cell
* energy: -14.6 eV/cell
* formation energy from the elements: 0.671 eV per atom
* total magnetization: 0.00 μB per atom
* crystal system: tetragonal
* symmetry: P4/mmm, No. 123

=====

NbCo2HPt | GGA-PBE | relaxed

The structure in CIF format:
```
data_NbCo2HPt
_chemical_formula_sum 'Nb1 Co2 H1 Pt1'
_cell_length_a 3.799
_cell_length_b 3.799
_cell_length_c 3.891
_cell_angle_alpha 90.00
_cell_angle_beta 90.00
_cell_angle_gamma 90.00
_symmetry_space_group_name_H-M 'P 1'
_symmetry_Int_Tables_number 1
loop_
_symmetry_equiv_pos_as_xyz
'x,y,z'
loop_
_atom_site_label
_atom_site_type_symbol
_atom_site_fract_x
_atom_site_fract_y
_atom_site_fract_z
_atom_site_occupancy
Co1 Co 0.000 0.500 0.000 1
H1 H 0.000 0.000 0.000 1
Co2 Co 0.500 0.000 0.000 1
Nb1 Nb 0.000 0.000 0.500 1
Pt1 Pt 0.500 0.500 0.500 1
```

Results
* N(E_F): 3.60 states/eV per cell
* energy: -34.8 eV/cell
* total magnetization: 0.00 μB per atom
* energy relative to the lowest polymorph listed for this composition: 0 meV per atom
* crystal system: tetragonal
* symmetry: P4/mmm, No. 123

=====

WAuCl2 | GGA-PBE | relaxed

The structure in CIF format:
```
data_WAuCl2
_chemical_formula_sum 'W1 Au1 Cl2'
_cell_length_a 4.755
_cell_length_b 4.755
_cell_length_c 4.755
_cell_angle_alpha 60.00
_cell_angle_beta 60.00
_cell_angle_gamma 60.00
_symmetry_space_group_name_H-M 'P 1'
_symmetry_Int_Tables_number 1
loop_
_symmetry_equiv_pos_as_xyz
'x,y,z'
loop_
_atom_site_label
_atom_site_type_symbol
_atom_site_fract_x
_atom_site_fract_y
_atom_site_fract_z
_atom_site_occupancy
Au1 Au 0.500 0.500 0.500 1
Cl1 Cl 0.250 0.250 0.250 1
W1 W 0.750 0.750 0.750 1
Cl2 Cl 0.000 0.000 0.000 1
```

Results
* N(E_F): 4.80 states/eV per cell
* energy: -15.9 eV/cell
* formation energy (no corrections): 1.0151 eV/atom
* total magnetization: 0.75 μB per atom
* energy relative to the lowest polymorph listed for this composition: 1078 meV per atom
* crystal system: cubic
* symmetry: F-43m, No. 216

=====

CdAgAu4 | GGA-PBE | relaxed

The structure in CIF format:
```
data_CdAgAu4
_chemical_formula_sum 'Cd2 Ag2 Au8'
_cell_length_a 4.756
_cell_length_b 7.303
_cell_length_c 8.349
_cell_angle_alpha 90.00
_cell_angle_beta 90.00
_cell_angle_gamma 51.14
_symmetry_space_group_name_H-M 'P 1'
_symmetry_Int_Tables_number 1
loop_
_symmetry_equiv_pos_as_xyz
'x,y,z'
loop_
_atom_site_label
_atom_site_type_symbol
_atom_site_fract_x
_atom_site_fract_y
_atom_site_fract_z
_atom_site_occupancy
Au1 Au 0.751 0.999 0.584 1
Au2 Au 0.249 0.501 0.916 1
Au3 Au 0.249 0.001 0.416 1
Au4 Au 0.751 0.499 0.084 1
Ag1 Ag 0.500 0.750 0.750 1
Au5 Au 0.249 0.501 0.584 1
Cd1 Cd 0.000 0.250 0.750 1
Au6 Au 0.751 0.999 0.916 1
Au7 Au 0.751 0.499 0.416 1
Ag2 Ag 0.500 0.250 0.250 1
Cd2 Cd 0.000 0.750 0.250 1
Au8 Au 0.249 0.001 0.084 1
```

Results
* N(E_F): 3.49 states/eV per cell
* energy: -34.4 eV/cell
* formation energy from the elements: -0.057 eV per atom
* total magnetization: 0.00 μB per atom
* energy relative to the lowest polymorph listed for this composition: 0 meV per atom
* crystal system: monoclinic
* symmetry: C2/m, No. 12

=====

K2Na4Tl3 | GGA-PBE | relaxed

The structure in CIF format:
```
data_K2Na4Tl3
_chemical_formula_sum 'K4 Na8 Tl6'
_cell_length_a 8.412
_cell_length_b 8.254
_cell_length_c 9.539
_cell_angle_alpha 90.00
_cell_angle_beta 90.00
_cell_angle_gamma 102.59
_symmetry_space_group_name_H-M 'P 1'
_symmetry_Int_Tables_number 1
loop_
_symmetry_equiv_pos_as_xyz
'x,y,z'
loop_
_atom_site_label
_atom_site_type_symbol
_atom_site_fract_x
_atom_site_fract_y
_atom_site_fract_z
_atom_site_occupancy
Tl1 Tl 0.237 0.247 0.565 1
Na1 Na 0.116 0.429 0.839 1
Tl2 Tl 0.263 0.753 0.065 1
Na2 Na 0.653 0.875 0.106 1
K1 K 0.064 0.198 0.191 1
K2 K 0.436 0.802 0.691 1
Na3 Na 0.153 0.875 0.394 1
Tl3 Tl 0.763 0.753 0.435 1
Na4 Na 0.616 0.429 0.661 1
Na5 Na 0.884 0.571 0.161 1
Tl4 Tl 0.500 0.500 0.000 1
K3 K 0.936 0.802 0.809 1
Na6 Na 0.384 0.571 0.339 1
Na7 Na 0.847 0.125 0.606 1
Tl5 Tl 0.737 0.247 0.935 1
K4 K 0.564 0.198 0.309 1
Na8 Na 0.347 0.125 0.894 1
Tl6 Tl 0.000 0.500 0.500 1
```

Results
* N(E_F): 8.35 states/eV per cell
* energy: -30.3 eV/cell
* formation energy from the elements: -0.062 eV per atom
* total magnetization: 0.00 μB per atom
* crystal system: monoclinic
* symmetry: P2_1/c, No. 14

=====

Zr2HgAs | GGA-PBE | relaxed

The structure in CIF format:
```
data_Zr2HgAs
_chemical_formula_sum 'Zr2 Hg1 As1'
_cell_length_a 4.981
_cell_length_b 4.981
_cell_length_c 4.981
_cell_angle_alpha 60.00
_cell_angle_beta 60.00
_cell_angle_gamma 60.00
_symmetry_space_group_name_H-M 'P 1'
_symmetry_Int_Tables_number 1
loop_
_symmetry_equiv_pos_as_xyz
'x,y,z'
loop_
_atom_site_label
_atom_site_type_symbol
_atom_site_fract_x
_atom_site_fract_y
_atom_site_fract_z
_atom_site_occupancy
Zr1 Zr 0.000 0.000 0.000 1
Hg1 Hg 0.750 0.750 0.750 1
As1 As 0.500 0.500 0.500 1
Zr2 Zr 0.250 0.250 0.250 1
```

Results
* N(E_F): 4.56 states/eV per cell
* energy: -21.2 eV/cell
* formation energy from the elements: 0.220 eV per atom
* total magnetization: 0.48 μB per atom
* energy relative to the lowest polymorph listed for this composition: 823 meV per atom
* crystal system: cubic
* symmetry: F-43m, No. 216

=====

RbSi4Pt4 | GGA-PBE | relaxed

The structure in CIF format:
```
data_RbSi4Pt4
_chemical_formula_sum 'Rb1 Si4 Pt4'
_cell_length_a 6.472
_cell_length_b 6.472
_cell_length_c 6.472
_cell_angle_alpha 97.31
_cell_angle_beta 97.31
_cell_angle_gamma 138.19
_symmetry_space_group_name_H-M 'P 1'
_symmetry_Int_Tables_number 1
loop_
_symmetry_equiv_pos_as_xyz
'x,y,z'
loop_
_atom_site_label
_atom_site_type_symbol
_atom_site_fract_x
_atom_site_fract_y
_atom_site_fract_z
_atom_site_occupancy
Si1 Si 0.090 0.362 0.495 1
Pt1 Pt 0.145 0.659 0.847 1
Pt2 Pt 0.297 0.145 0.486 1
Pt3 Pt 0.811 0.297 0.153 1
Pt4 Pt 0.659 0.811 0.514 1
Si2 Si 0.594 0.090 0.728 1
Si3 Si 0.866 0.594 0.505 1
Si4 Si 0.362 0.866 0.272 1
Rb1 Rb 0.476 0.476 0.000 1
```

Results
* N(E_F): 1.30 states/eV per cell
* energy: -53.0 eV/cell
* formation energy (no corrections): -0.6870 eV/atom
* total magnetization: 0.00 μB per atom
* crystal system: tetragonal
* symmetry: I4, No. 79

=====

La2Ga4Fe | GGA-PBE | relaxed

The structure in CIF format:
```
data_La2Ga4Fe
_chemical_formula_sum 'La2 Ga4 Fe1'
_cell_length_a 4.556
_cell_length_b 4.556
_cell_length_c 8.382
_cell_angle_alpha 74.23
_cell_angle_beta 74.23
_cell_angle_gamma 90.00
_symmetry_space_group_name_H-M 'P 1'
_symmetry_Int_Tables_number 1
loop_
_symmetry_equiv_pos_as_xyz
'x,y,z'
loop_
_atom_site_label
_atom_site_type_symbol
_atom_site_fract_x
_atom_site_fract_y
_atom_site_fract_z
_atom_site_occupancy
Ga1 Ga 0.154 0.154 0.692 1
La1 La 0.647 0.647 0.706 1
Ga2 Ga 0.500 0.000 0.000 1
Ga3 Ga 0.846 0.846 0.308 1
Ga4 Ga 0.000 0.500 0.000 1
Fe1 Fe 0.000 0.000 0.000 1
La2 La 0.353 0.353 0.294 1
```

Results
* N(E_F): 4.37 states/eV per cell
* energy: -33.5 eV/cell
* formation energy from the elements: -0.438 eV per atom
* total magnetization: 0.00 μB per atom
* crystal system: tetragonal
* symmetry: I4/mmm, No. 139